{"formula": "Na2CdHg5", "functional": "PBE", "state": "optimized geometry", "lattice_angstrom": [[4.855, 0.000, 0.000], [0.000, 6.505, 0.000], [0.000, 0.000, 12.822]], "species": ["Na", "Na", "Na", "Na", "Cd", "Cd", "Hg", "Hg", "Hg", "Hg", "Hg", "Hg", "Hg", "Hg", "Hg", "Hg"], "frac_coords": [[0.500, 0.283, 0.367], [0.500, 0.717, 0.633], [0.500, 0.217, 0.867], [0.500, 0.783, 0.133], [0.000, 0.000, 0.500], [0.000, 0.500, 0.000], [0.500, 0.278, 0.115], [0.500, 0.722, 0.885], [0.500, 0.778, 0.385], [0.500, 0.222, 0.615], [0.000, 0.967, 0.744], [0.000, 0.033, 0.256], [0.000, 0.467, 0.756], [0.000, 0.533, 0.244], [0.000, 0.500, 0.500], [0.000, 0.000, 0.000]], "final_energy_ev_per_fu": -6.41, "e_above_lowest_polymorph_mev_per_atom": 0.0, "total_magnetization_mub_per_atom": 0.000, "delta_e_f_kcal_per_mol_atoms": -3.88, "space_group": "Pbam"}